# BaZrAsSe2 PBE relaxed
# energy above the lowest structure with this stoichiometry	1981	meV/atom
# formation energy (no corrections)	3.84	eV/f.u.
# total moment	0.9	μB per formula unit
# D(E_F)	1.168	states/eV per atom
data_BaZrAsSe2
_chemical_formula_sum 'Ba1 Zr1 As1 Se2'
_space_group_name_H-M_alt 'P 4/m m m'
_space_group_IT_number 123
_space_group_name_Hall '-P 4 2'
_cell_length_a 5.758
_cell_length_b 5.758
_cell_length_c 5.571
_cell_angle_alpha 90.00
_cell_angle_beta 90.00
_cell_angle_gamma 90.00
loop_
_atom_site_label
_atom_site_type_symbol
_atom_site_fract_x
_atom_site_fract_y
_atom_site_fract_z
Ba1 Ba 0.000 0.000 0.000
Zr1 Zr 0.500 0.500 0.500
As1 As 0.000 0.000 0.500
Se1 Se 0.000 0.500 0.000